# 1
The following is a GGA-PBE calculation of a relaxed CuB3Ru crystal, from the Alexandria database.

The energy above the most stable polymorph in this dataset is 0 meV per atom. For the total magnetization, the calculation gives 0.00 Bohr magnetons per cell. As for the space group: Pm-3m (221). The value obtained for the electronic total energy is -27.8 eV/cell.

```
CuB3Ru
1.0
-3.739 0.748 1.281
0.434 -2.770 2.884
1.419 2.819 2.494
Ru B Cu
1 3 1
Direct
0.000 0.000 0.000
0.000 0.500 0.000
0.000 0.000 0.500
0.500 0.000 0.000
0.500 0.500 0.500
```

=====

# 2
The following is a GGA-PBE calculation of a relaxed CuB3Ru crystal, from the Alexandria database.

The energy above the most stable polymorph in this dataset is 489 meV per atom. For the total magnetization, the calculation gives 0.00 Bohr magnetons per cell. As for the space group: Pm-3m (221). The value obtained for the electronic total energy is -25.3 eV/cell.

```
CuB3Ru
1.0
3.737 0.000 0.000
0.000 3.737 0.000
0.000 0.000 3.737
Ru B Cu
1 3 1
Direct
0.500 0.500 0.500
0.000 0.500 0.000
0.000 0.000 0.500
0.500 0.000 0.000
0.000 0.000 0.000
```

=====

# 3
The following is a GGA-PBE calculation of a relaxed Cu3BRu crystal, from the Alexandria database.

The energy above the most stable polymorph in this dataset is 87 meV per atom. For the total magnetization, the calculation gives 0.00 Bohr magnetons per cell. As for the space group: P1 (1). The value obtained for the electronic total energy is -56.1 eV/cell.

```
Cu3BRu
1.0
-1.253 -2.383 0.688
1.444 -3.131 -2.541
7.229 -3.486 6.491
Ru B Cu
2 2 6
Direct
0.396 0.324 0.605
0.748 0.773 0.437
0.124 0.882 0.596
0.026 0.207 0.453
0.325 0.909 0.189
0.530 0.346 0.300
0.301 0.294 0.863
0.613 0.756 0.756
0.665 0.373 0.065
0.976 0.834 0.970
```

=====

# 4
The following is a GGA-PBE calculation of a relaxed Cu3BRu crystal, from the Alexandria database.

The energy above the most stable polymorph in this dataset is 29 meV per atom. For the total magnetization, the calculation gives 0.00 Bohr magnetons per cell. As for the space group: C2/m (12). The value obtained for the electronic total energy is -113.4 eV/cell.

```
Cu3BRu
1.0
9.295 0.000 -0.010
0.000 2.933 0.000
-1.943 0.000 8.143
Ru B Cu
4 4 12
Direct
0.589 0.000 0.385
0.411 0.000 0.615
0.589 0.500 0.885
0.411 0.500 0.115
0.580 0.000 0.091
0.420 0.000 0.909
0.580 0.500 0.591
0.420 0.500 0.409
0.265 0.000 0.291
0.735 0.000 0.709
0.265 0.500 0.791
0.735 0.500 0.209
0.167 0.000 0.980
0.833 0.000 0.020
0.167 0.500 0.480
0.833 0.500 0.520
0.949 0.000 0.344
0.051 0.000 0.656
0.949 0.500 0.844
0.051 0.500 0.156
```

=====

# 5
The following is a GGA-PBE calculation of a relaxed Cu3BRu crystal, from the Alexandria database.

The energy above the most stable polymorph in this dataset is 169 meV per atom. For the total magnetization, the calculation gives 0.00 Bohr magnetons per cell. As for the space group: Cm (8). The value obtained for the electronic total energy is -55.3 eV/cell.

```
Cu3BRu
1.0
-3.297 1.022 2.325
-0.075 -2.754 1.105
7.426 2.195 5.971
Ru B Cu
2 2 6
Direct
0.204 0.000 0.128
0.204 0.500 0.628
0.149 0.000 0.483
0.149 0.500 0.983
0.683 0.000 0.564
0.683 0.500 0.064
0.304 0.000 0.863
0.304 0.500 0.363
0.778 0.000 0.295
0.778 0.500 0.795
```

=====

# 6
The following is a GGA-PBE calculation of a relaxed Cu3BRu crystal, from the Alexandria database.

The energy above the most stable polymorph in this dataset is 82 meV per atom. For the total magnetization, the calculation gives 0.00 Bohr magnetons per cell. As for the space group: Cm (8). The value obtained for the electronic total energy is -112.3 eV/cell.

```
Cu3BRu
1.0
-4.536 -9.783 0.761
1.850 -0.705 1.966
-3.563 5.093 5.178
Ru B Cu
4 4 12
Direct
0.481 0.000 0.091
0.481 0.500 0.591
0.314 0.000 0.302
0.314 0.500 0.802
0.466 0.000 0.801
0.466 0.500 0.301
0.321 0.000 0.584
0.321 0.500 0.084
0.161 0.000 0.960
0.161 0.500 0.460
0.057 0.000 0.189
0.057 0.500 0.689
0.721 0.000 0.753
0.721 0.500 0.253
0.620 0.000 0.430
0.620 0.500 0.930
0.939 0.000 0.412
0.939 0.500 0.912
0.822 0.000 0.079
0.822 0.500 0.579
```

=====

# 7
The following is a GGA-PBE calculation of a relaxed Cu3BRu crystal, from the Alexandria database.

The energy above the most stable polymorph in this dataset is 571 meV per atom. For the total magnetization, the calculation gives 1.67 Bohr magnetons per cell. As for the space group: Pm-3m (221). The value obtained for the electronic total energy is -25.6 eV/cell.

```
Cu3BRu
1.0
3.922 0.000 0.000
0.000 3.922 0.000
0.000 0.000 3.922
Ru B Cu
1 1 3
Direct
0.500 0.500 0.500
0.000 0.000 0.000
0.000 0.500 0.000
0.000 0.000 0.500
0.500 0.000 0.000
```

=====

# 8
The following is a GGA-PBE calculation of a relaxed CuBRu2 crystal, from the Alexandria database.

For the total magnetization, the calculation gives 0.00 Bohr magnetons per cell. As for the space group: I-42d (122). The value obtained for the electronic total energy is -51.2 eV/cell.

```
CuBRu2
1.0
3.755 0.000 0.000
0.000 3.755 0.000
1.877 1.877 7.791
Ru B Cu
4 2 2
Direct
0.565 0.125 0.250
0.185 0.625 0.250
0.375 0.435 0.750
0.875 0.815 0.750
0.500 0.500 0.000
0.250 0.750 0.500
0.000 0.000 0.000
0.750 0.250 0.500
```

=====

# 9
The following is a GGA-PBE calculation of a relaxed CuBRu crystal, from the Alexandria database.

For the total magnetization, the calculation gives 0.00 Bohr magnetons per cell. As for the space group: I4/mmm (139). The value obtained for the electronic total energy is -78.3 eV/cell.

```
CuBRu
1.0
-0.909 -1.824 -3.698
-3.409 -4.920 0.855
-5.135 2.260 -2.262
Ru Cu B
4 4 4
Direct
0.500 0.729 0.271
0.229 0.271 0.271
0.771 0.729 0.729
0.500 0.271 0.729
0.836 0.000 0.328
0.837 0.327 0.000
0.163 0.673 0.000
0.164 0.000 0.672
0.000 0.621 0.379
0.621 0.379 0.379
0.379 0.621 0.621
0.000 0.379 0.621
```

=====

# 10
The following is a GGA-PBE calculation of a relaxed CuB2Ru crystal, from the Alexandria database.

The energy above the most stable polymorph in this dataset is 210 meV per atom. For the total magnetization, the calculation gives 0.00 Bohr magnetons per cell. As for the space group: I-42d (122). The value obtained for the electronic total energy is -47.9 eV/cell.

```
CuB2Ru
1.0
-3.215 -0.915 -3.373
3.471 -1.361 -2.940
-0.256 -5.412 -1.631
Ru B Cu
2 4 2
Direct
0.000 0.000 0.000
0.750 0.250 0.500
0.640 0.125 0.250
0.110 0.625 0.250
0.375 0.360 0.750
0.875 0.890 0.750
0.500 0.500 0.000
0.250 0.750 0.500
```

=====

Which value of total magnetization does entry 6 give? 0.00 Bohr magnetons per cell